Crystalline Nd4Al7Ga6 at its relaxed geometry, computed with PBE-GGA.

Its formation energy from the elements is -0.46 eV per atom. For the total magnetization, the calculation gives 0.0 μB per formula unit.

The space group is Im-3m (No. 229) and the conventional cell measures 8.876, 8.876 and 8.876 Å, with angles of 90.00, 90.00 and 90.00 degrees. The distinct sites, in fractional coordinates, are Nd at (0.250, 0.250, 0.250), Al at (0.000, 0.000, 0.000), Al at (0.000, 0.250, 0.500) and Ga at (0.000, 0.000, 0.311).